Entry 1:
Material: Nd6Os2PtBr3
Method: DFT, PBE
State: relaxed

Computed properties:
As for the density of states at the Fermi level: 0.390 states/eV per atom. Its spin magnetization is 0.000 μB/atom. The total energy comes out at -6.063 eV per atom.

```
data_Nd6Os2PtBr3
_cell_length_a 7.208
_cell_length_b 12.487
_cell_length_c 8.179
_cell_angle_alpha 90.00
_cell_angle_beta 107.07
_cell_angle_gamma 90.00
_space_group_name_H-M_alt 'C 1 2/m 1'
_space_group_IT_number 12
_space_group_name_Hall '-C 2y'
loop_
_atom_site_label
_atom_site_type_symbol
_atom_site_fract_x
_atom_site_fract_y
_atom_site_fract_z
Nd1 Nd 0.219 0.000 0.196
Nd2 Nd 0.239 0.327 0.197
Os1 Os 0.000 0.167 0.000
Pt1 Pt 0.000 0.500 0.000
Br1 Br 0.000 0.000 0.500
Br2 Br 0.000 0.331 0.500
```



Entry 2:
Material: LaTb2PuBi4
Method: DFT, PBE
State: relaxed

Computed properties:
The energy of formation from the pure elements comes out at -0.775 eV/atom. As for the density of states at the Fermi level: 2.259 states/eV per atom. Its spin magnetization is 0.640 μB/atom. The total energy comes out at -6.280 eV per atom.

```
data_LaTb2PuBi4
_cell_length_a 7.898
_cell_length_b 4.566
_cell_length_c 7.902
_cell_angle_alpha 90.00
_cell_angle_beta 109.48
_cell_angle_gamma 90.00
_space_group_name_H-M_alt 'P 1 2/m 1'
_space_group_IT_number 10
_space_group_name_Hall '-P 2y'
loop_
_atom_site_label
_atom_site_type_symbol
_atom_site_fract_x
_atom_site_fract_y
_atom_site_fract_z
La1 La 0.000 0.000 0.000
Tb1 Tb 0.500 0.000 0.500
Tb2 Tb 0.500 0.500 0.000
Pu1 Pu 0.000 0.500 0.500
Bi1 Bi 0.255 0.000 0.747
Bi2 Bi 0.259 0.500 0.257
```



Entry 3:
Material: KBiAs2Br
Method: DFT, PBE
State: relaxed

Computed properties:
The energy above the lowest structure with this stoichiometry is 0 meV/atom. As for the density of states at the Fermi level: 0.625 states/eV per atom. Its spin magnetization is 0.236 μB/atom. The total energy comes out at -3.143 eV per atom.

```
data_KBiAs2Br
_cell_length_a 5.506
_cell_length_b 5.506
_cell_length_c 6.210
_cell_angle_alpha 90.00
_cell_angle_beta 90.00
_cell_angle_gamma 90.00
_space_group_name_H-M_alt 'P 4/m m m'
_space_group_IT_number 123
_space_group_name_Hall '-P 4 2'
loop_
_atom_site_label
_atom_site_type_symbol
_atom_site_fract_x
_atom_site_fract_y
_atom_site_fract_z
K1 K 0.000 0.000 0.000
Bi1 Bi 0.500 0.500 0.500
As1 As 0.000 0.500 0.500
Br1 Br 0.500 0.500 0.000
```



Entry 4:
Material: ZnReBr2
Method: DFT, PBE
State: relaxed

Computed properties:
The energy above the lowest structure with this stoichiometry is 463 meV/atom. As for the density of states at the Fermi level: 0.774 states/eV per atom. Its spin magnetization is 0.000 μB/atom. The total energy comes out at -3.616 eV per atom.

```
data_ZnReBr2
_cell_length_a 3.069
_cell_length_b 5.851
_cell_length_c 10.281
_cell_angle_alpha 90.00
_cell_angle_beta 90.00
_cell_angle_gamma 90.00
_space_group_name_H-M_alt 'C m m m'
_space_group_IT_number 65
_space_group_name_Hall '-C 2 2'
loop_
_atom_site_label
_atom_site_type_symbol
_atom_site_fract_x
_atom_site_fract_y
_atom_site_fract_z
Zn1 Zn 0.000 0.000 0.000
Re1 Re 0.000 0.000 0.500
Br1 Br 0.000 0.500 0.303
```



Entry 5:
Material: BiAs2PbO8
Method: DFT, PBE
State: relaxed

Computed properties:
As for the density of states at the Fermi level: 0.393 states/eV per atom. Its spin magnetization is 0.052 μB/atom. The total energy comes out at -5.797 eV per atom.

```
data_BiAs2PbO8
_cell_length_a 5.1134
_cell_length_b 5.1134
_cell_length_c 23.7635
_cell_angle_alpha 90.00
_cell_angle_beta 90.00
_cell_angle_gamma 120.00
_space_group_name_H-M_alt 'R 3 2'
_space_group_IT_number 155
_space_group_name_Hall 'R 3 2"'
loop_
_atom_site_label
_atom_site_type_symbol
_atom_site_fract_x
_atom_site_fract_y
_atom_site_fract_z
Bi1 Bi 0.0000 0.0000 0.0000
As1 As 0.0000 0.0000 0.2486
Pb1 Pb 0.0000 0.0000 0.5000
O1 O 0.0000 0.0000 0.1770
O2 O 0.0076 0.3496 0.9384
```



Entry 6:
Material: UMnAlGe2
Method: DFT, PBE
State: relaxed

Computed properties:
The energy of formation from the pure elements comes out at 0.102 eV/atom. As for the density of states at the Fermi level: 1.179 states/eV per atom. Its spin magnetization is 0.322 μB/atom. The total energy comes out at -6.585 eV per atom.

```
data_UMnAlGe2
_cell_length_a 5.672
_cell_length_b 8.352
_cell_length_c 8.411
_cell_angle_alpha 90.00
_cell_angle_beta 90.00
_cell_angle_gamma 90.00
_space_group_name_H-M_alt 'C m m e'
_space_group_IT_number 67
_space_group_name_Hall '-C 2a 2'
loop_
_atom_site_label
_atom_site_type_symbol
_atom_site_fract_x
_atom_site_fract_y
_atom_site_fract_z
U1 U 0.000 0.250 0.139
Mn1 Mn 0.250 0.000 0.000
Al1 Al 0.000 0.000 0.500
Ge1 Ge 0.000 0.100 0.785
```



Entry 7:
Material: SmZn2Pd5
Method: DFT, PBE
State: relaxed

Computed properties:
The energy of formation from the pure elements comes out at -0.532 eV/atom. As for the density of states at the Fermi level: 0.183 states/eV per atom. Its spin magnetization is 0.000 μB/atom. The total energy comes out at -4.686 eV per atom.

```
data_SmZn2Pd5
_cell_length_a 3.927
_cell_length_b 6.676
_cell_length_c 10.844
_cell_angle_alpha 90.00
_cell_angle_beta 90.00
_cell_angle_gamma 90.00
_space_group_name_H-M_alt 'I m m m'
_space_group_IT_number 71
_space_group_name_Hall '-I 2 2'
loop_
_atom_site_label
_atom_site_type_symbol
_atom_site_fract_x
_atom_site_fract_y
_atom_site_fract_z
Sm1 Sm 0.000 0.000 0.000
Zn1 Zn 0.000 0.500 0.230
Pd1 Pd 0.000 0.211 0.369
Pd2 Pd 0.000 0.500 0.000
```



Entry 8:
Material: Ba3Ge4Au
Method: DFT, PBE
State: relaxed

Computed properties:
The energy of formation from the pure elements comes out at -0.425 eV/atom. As for the density of states at the Fermi level: 0.633 states/eV per atom. Its spin magnetization is 0.000 μB/atom. The total energy comes out at -3.865 eV per atom.

```
data_Ba3Ge4Au
_cell_length_a 5.185
_cell_length_b 5.957
_cell_length_c 17.053
_cell_angle_alpha 90.00
_cell_angle_beta 90.00
_cell_angle_gamma 90.00
_space_group_name_H-M_alt 'I m m m'
_space_group_IT_number 71
_space_group_name_Hall '-I 2 2'
loop_
_atom_site_label
_atom_site_type_symbol
_atom_site_fract_x
_atom_site_fract_y
_atom_site_fract_z
Ba1 Ba 0.000 0.000 0.000
Ba2 Ba 0.000 0.500 0.196
Ge1 Ge 0.000 0.293 0.385
Au1 Au 0.000 0.000 0.500
```



Entry 9:
Material: ScAlCl2
Method: DFT, PBE
State: relaxed

Computed properties:
The energy above the lowest structure with this stoichiometry is 573 meV/atom. As for the density of states at the Fermi level: 0.564 states/eV per atom. Its spin magnetization is 0.390 μB/atom. The total energy comes out at -3.900 eV per atom.

```
data_ScAlCl2
_cell_length_a 4.893
_cell_length_b 4.893
_cell_length_c 3.492
_cell_angle_alpha 90.00
_cell_angle_beta 90.00
_cell_angle_gamma 90.00
_space_group_name_H-M_alt 'P 4/m m m'
_space_group_IT_number 123
_space_group_name_Hall '-P 4 2'
loop_
_atom_site_label
_atom_site_type_symbol
_atom_site_fract_x
_atom_site_fract_y
_atom_site_fract_z
Sc1 Sc 0.000 0.000 0.000
Al1 Al 0.500 0.500 0.000
Cl1 Cl 0.000 0.500 0.500
```



What is the spin magnetization in the fifth record?
0.052 μB/atom